Record 1
# Pr5GeP4

A relaxed Pr5GeP4 crystal (PBE, Alexandria via LeMat-Bulk).

Calculated values
The formation energy comes out at -1328 meV/atom.

Cell: 9.451 9.451 5.971 Å, 90.00 90.00 90.00°
Space group I4/m (No. 87)
Symmetry-distinct sites (fractional):
Pr  0.000  0.000  0.000 x2
Pr  0.104  0.693  0.500 x8
Ge  0.000  0.000  0.500 x2
P  0.100  0.700  0.000 x8

Record 2
# PaNbSi

A relaxed PaNbSi crystal (PBE, Alexandria via LeMat-Bulk).

Calculated values
For the polymorph energy (0 for the lowest one), the calculation gives 0.00 eV per formula unit. The raw formation energy is -0.428 eV/atom.

Cell: 4.008 4.008 15.256 Å, 90.00 90.00 90.00°
Space group I4/mmm (No. 139)
Symmetry-distinct sites (fractional):
Pa  0.000  0.000  0.176 x4
Nb  0.000  0.500  0.000 x4
Si  0.000  0.000  0.374 x4

Record 3
# CaScOs2

A relaxed CaScOs2 crystal (PBE, Alexandria via LeMat-Bulk).

Calculated values
The formation energy comes out at 625 meV/atom. For the polymorph energy (0 for the lowest one), the calculation gives 2.04 eV per formula unit.

Cell: 4.486 4.486 18.710 Å, 90.00 90.00 90.00°
Space group I-42d (No. 122)
Symmetry-distinct sites (fractional):
Ca  0.000  0.000  0.000 x4
Sc  0.000  0.000  0.500 x4
Os  0.112  0.250  0.625 x8

Record 4
# Cd3TeAu

A relaxed Cd3TeAu crystal (PBE, Alexandria via LeMat-Bulk).

Calculated values
For the polymorph energy (0 for the lowest one), the calculation gives 0.00 eV per formula unit. The raw formation energy is 0.085 eV/atom.

Cell: 5.297 5.297 5.297 Å, 90.00 90.00 90.00°
Space group Pm-3m (No. 221)
Symmetry-distinct sites (fractional):
Cd  0.000  0.000  0.500 x3
Te  0.500  0.500  0.500 x1
Au  0.000  0.000  0.000 x1

Record 5
# Na2CS

A relaxed Na2CS crystal (PBE, Alexandria via LeMat-Bulk).

Calculated values
For the polymorph energy (0 for the lowest one), the calculation gives 0.83 eV per formula unit. The raw formation energy is 1.030 eV/atom.

Cell: 4.096 4.096 17.355 Å, 90.00 90.00 90.00°
Space group I-42d (No. 122)
Symmetry-distinct sites (fractional):
Na  0.227  0.250  0.125 x8
C  0.000  0.000  0.000 x4
S  0.000  0.000  0.500 x4

Record 6
# TiPd3Se

A relaxed TiPd3Se crystal (PBE, Alexandria via LeMat-Bulk).

Calculated values
For the polymorph energy (0 for the lowest one), the calculation gives 0.00 eV per formula unit. The raw formation energy is 0.282 eV/atom.

Cell: 4.651 4.651 4.651 Å, 90.00 90.00 90.00°
Space group Pm-3m (No. 221)
Symmetry-distinct sites (fractional):
Ti  0.000  0.000  0.000 x1
Pd  0.000  0.500  0.500 x3
Se  0.500  0.500  0.500 x1

Record 7
# Ag3PbSe3

A relaxed Ag3PbSe3 crystal (PBE, Alexandria via LeMat-Bulk).

Calculated values
The raw formation energy is -0.150 eV/atom.

Cell: 7.5282 7.5282 21.9740 Å, 90.00 90.00 120.00°
Space group R-3 (No. 148, hexagonal axes)
Symmetry-distinct sites (fractional):
Ag  0.9995  0.3404  0.3717 x18
Pb  0.0000  0.0000  0.1665 x6
Se  0.0003  0.3361  0.9132 x18

Record 8
# MgGaCl6

A relaxed MgGaCl6 crystal (PBE, Alexandria via LeMat-Bulk).

Calculated values
The raw formation energy is -1.088 eV/atom.

Cell: 6.233 12.495 6.287 Å, 90.00 112.95 90.00°
Space group C2/m (No. 12)
Symmetry-distinct sites (fractional):
Mg  0.000  0.000  0.000 x2
Ga  0.000  0.500  0.500 x2
Cl  0.193  0.000  0.685 x4
Cl  0.211  0.369  0.762 x8

Looking at V for the records above, in order, we have 26.67, 20.43, 23.53, 29.73, 18.20, 20.13, 25.68, 28.18 Å³ per atom.